# PBE-GGA PaGeI2, optimized geometry
# calculated total energy: -3.9312 eV/atom
data_PaGeI2
_chemical_formula_sum 'Pa3 Ge3 I6'
_cell_length_a 3.6850
_cell_length_b 3.6850
_cell_length_c 32.0992
_cell_angle_alpha 90.00
_cell_angle_beta 90.00
_cell_angle_gamma 120.00
_symmetry_space_group_name_H-M 'R -3 m'
_symmetry_Int_Tables_number 166
_symmetry_space_group_name_Hall '-R 3 2"'
loop_
_atom_site_label
_atom_site_type_symbol
_atom_site_fract_x
_atom_site_fract_y
_atom_site_fract_z
_atom_site_occupancy
Pa1 Pa 0.0000 0.0000 0.0000 1
Ge1 Ge 0.0000 0.0000 0.5000 1
I1 I 0.0000 0.0000 0.0934 1

---

# PBE-GGA LaRe2Te, optimized geometry
# calculated total energy: -7.4444 eV/atom
data_LaRe2Te
_chemical_formula_sum 'La1 Re2 Te1'
_cell_length_a 3.300
_cell_length_b 3.300
_cell_length_c 7.600
_cell_angle_alpha 90.00
_cell_angle_beta 90.00
_cell_angle_gamma 90.00
_symmetry_space_group_name_H-M 'P 4/m m m'
_symmetry_Int_Tables_number 123
_symmetry_space_group_name_Hall '-P 4 2'
loop_
_atom_site_label
_atom_site_type_symbol
_atom_site_fract_x
_atom_site_fract_y
_atom_site_fract_z
_atom_site_occupancy
La1 La 0.000 0.000 0.000 1
Re1 Re 0.500 0.500 0.303 1
Te1 Te 0.000 0.000 0.500 1

---

# PBE-GGA TaMn2Pt2, optimized geometry
# energy relative to the lowest polymorph listed for this composition: 0.165 eV/atom
# calculated total energy: -8.4715 eV/atom
# formation enthalpy at 0 K: -16.9 meV/atom
data_TaMn2Pt2
_chemical_formula_sum 'Ta2 Mn4 Pt4'
_cell_length_a 3.366
_cell_length_b 3.366
_cell_length_c 13.313
_cell_angle_alpha 90.00
_cell_angle_beta 90.00
_cell_angle_gamma 90.00
_symmetry_space_group_name_H-M 'I 4/m m m'
_symmetry_Int_Tables_number 139
_symmetry_space_group_name_Hall '-I 4 2'
loop_
_atom_site_label
_atom_site_type_symbol
_atom_site_fract_x
_atom_site_fract_y
_atom_site_fract_z
_atom_site_occupancy
Ta1 Ta 0.000 0.000 0.000 1
Mn1 Mn 0.000 0.500 0.250 1
Pt1 Pt 0.000 0.000 0.399 1

---

# PBE-GGA Cr2InHgRh, optimized geometry
# calculated total energy: -4.6420 eV/atom
# formation enthalpy at 0 K: 1285.6 meV/atom
data_Cr2InHgRh
_chemical_formula_sum 'Cr2 In1 Hg1 Rh1'
_cell_length_a 5.022
_cell_length_b 5.022
_cell_length_c 5.030
_cell_angle_alpha 90.00
_cell_angle_beta 90.00
_cell_angle_gamma 90.00
_symmetry_space_group_name_H-M 'P 4/m m m'
_symmetry_Int_Tables_number 123
_symmetry_space_group_name_Hall '-P 4 2'
loop_
_atom_site_label
_atom_site_type_symbol
_atom_site_fract_x
_atom_site_fract_y
_atom_site_fract_z
_atom_site_occupancy
Cr1 Cr 0.000 0.500 0.000 1
In1 In 0.000 0.000 0.500 1
Hg1 Hg 0.500 0.500 0.000 1
Rh1 Rh 0.500 0.500 0.500 1

---

# PBE-GGA Na3TiAs, optimized geometry
# energy relative to the lowest polymorph listed for this composition: 0.000 eV/atom
# calculated total energy: -2.5943 eV/atom
# formation enthalpy at 0 K: 706.0 meV/atom
data_Na3TiAs
_chemical_formula_sum 'Na3 Ti1 As1'
_cell_length_a 5.497
_cell_length_b 5.497
_cell_length_c 5.497
_cell_angle_alpha 90.00
_cell_angle_beta 90.00
_cell_angle_gamma 90.00
_symmetry_space_group_name_H-M 'P m -3 m'
_symmetry_Int_Tables_number 221
_symmetry_space_group_name_Hall '-P 4 2 3'
loop_
_atom_site_label
_atom_site_type_symbol
_atom_site_fract_x
_atom_site_fract_y
_atom_site_fract_z
_atom_site_occupancy
Na1 Na 0.000 0.000 0.500 1
Ti1 Ti 0.500 0.500 0.500 1
As1 As 0.000 0.000 0.000 1

---

# PBE-GGA KSnAu2, optimized geometry
# calculated total energy: -3.1703 eV/atom
# formation enthalpy at 0 K: -256.5 meV/atom
data_KSnAu2
_chemical_formula_sum 'K3 Sn3 Au6'
_cell_length_a 4.8240
_cell_length_b 4.8240
_cell_length_c 17.8334
_cell_angle_alpha 90.00
_cell_angle_beta 90.00
_cell_angle_gamma 120.00
_symmetry_space_group_name_H-M 'R -3 m'
_symmetry_Int_Tables_number 166
_symmetry_space_group_name_Hall '-R 3 2"'
loop_
_atom_site_label
_atom_site_type_symbol
_atom_site_fract_x
_atom_site_fract_y
_atom_site_fract_z
_atom_site_occupancy
K1 K 0.0000 0.0000 0.0000 1
Sn1 Sn 0.0000 0.0000 0.5000 1
Au1 Au 0.0000 0.0000 0.1933 1

---

# PBE-GGA CsGePb2, optimized geometry
# energy relative to the lowest polymorph listed for this composition: 0.015 eV/atom
# calculated total energy: -3.2052 eV/atom
# formation enthalpy at 0 K: 16.7 meV/atom
data_CsGePb2
_chemical_formula_sum 'Cs3 Ge3 Pb6'
_cell_length_a 5.0353
_cell_length_b 5.0353
_cell_length_c 22.0511
_cell_angle_alpha 90.00
_cell_angle_beta 90.00
_cell_angle_gamma 120.00
_symmetry_space_group_name_H-M 'R 3 m'
_symmetry_Int_Tables_number 160
_symmetry_space_group_name_Hall 'R 3 -2"'
loop_
_atom_site_label
_atom_site_type_symbol
_atom_site_fract_x
_atom_site_fract_y
_atom_site_fract_z
_atom_site_occupancy
Cs1 Cs 0.0000 0.0000 0.0000 1
Ge1 Ge 0.0000 0.0000 0.1916 1
Pb1 Pb 0.0000 0.0000 0.5436 1
Pb2 Pb 0.0000 0.0000 0.7961 1

---

# PBE-GGA KBaYB6O12, optimized geometry
# calculated total energy: -7.8670 eV/atom
data_KBaYB6O12
_chemical_formula_sum 'K3 Ba3 Y3 B18 O36'
_cell_length_a 7.2746
_cell_length_b 7.2746
_cell_length_c 18.0546
_cell_angle_alpha 90.00
_cell_angle_beta 90.00
_cell_angle_gamma 120.00
_symmetry_space_group_name_H-M 'R 3'
_symmetry_Int_Tables_number 146
_symmetry_space_group_name_Hall 'R 3'
loop_
_atom_site_label
_atom_site_type_symbol
_atom_site_fract_x
_atom_site_fract_y
_atom_site_fract_z
_atom_site_occupancy
K1 K 0.0000 0.0000 0.0000 1
Ba1 Ba 0.0000 0.0000 0.5817 1
Y1 Y 0.0000 0.0000 0.7898 1
B1 B 0.0565 0.8385 0.3716 1
B2 B 0.1632 0.4513 0.8685 1
O1 O 0.0004 0.2528 0.8654 1
O2 O 0.0436 0.8344 0.2033 1
O3 O 0.1075 0.6856 0.3725 1
O4 O 0.1761 0.4543 0.0379 1

---

# PBE-GGA ZrIrRh2, optimized geometry
# calculated total energy: -8.4434 eV/atom
# formation enthalpy at 0 K: -415.4 meV/atom
data_ZrIrRh2
_chemical_formula_sum 'Zr1 Ir1 Rh2'
_cell_length_a 2.889
_cell_length_b 3.874
_cell_length_c 5.687
_cell_angle_alpha 90.00
_cell_angle_beta 90.00
_cell_angle_gamma 90.00
_symmetry_space_group_name_H-M 'P m m m'
_symmetry_Int_Tables_number 47
_symmetry_space_group_name_Hall '-P 2 2'
loop_
_atom_site_label
_atom_site_type_symbol
_atom_site_fract_x
_atom_site_fract_y
_atom_site_fract_z
_atom_site_occupancy
Zr1 Zr 0.000 0.000 0.000 1
Ir1 Ir 0.000 0.000 0.500 1
Rh1 Rh 0.500 0.500 0.266 1

---

# PBE-GGA AcYCuPt, optimized geometry
# calculated total energy: -5.7679 eV/atom
# formation enthalpy at 0 K: -590.5 meV/atom
data_AcYCuPt
_chemical_formula_sum 'Ac4 Y4 Cu4 Pt4'
_cell_length_a 7.313
_cell_length_b 7.313
_cell_length_c 7.313
_cell_angle_alpha 90.00
_cell_angle_beta 90.00
_cell_angle_gamma 90.00
_symmetry_space_group_name_H-M 'F -4 3 m'
_symmetry_Int_Tables_number 216
_symmetry_space_group_name_Hall 'F -4 2 3'
loop_
_atom_site_label
_atom_site_type_symbol
_atom_site_fract_x
_atom_site_fract_y
_atom_site_fract_z
_atom_site_occupancy
Ac1 Ac 0.000 0.000 0.000 1
Y1 Y 0.000 0.000 0.500 1
Cu1 Cu 0.250 0.250 0.750 1
Pt1 Pt 0.250 0.250 0.250 1

---

# PBE-GGA KBeMo2, optimized geometry
# calculated total energy: -5.0257 eV/atom
# formation enthalpy at 0 K: 1595.8 meV/atom
data_KBeMo2
_chemical_formula_sum 'K4 Be4 Mo8'
_cell_length_a 4.401
_cell_length_b 4.401
_cell_length_c 18.468
_cell_angle_alpha 90.00
_cell_angle_beta 90.00
_cell_angle_gamma 90.00
_symmetry_space_group_name_H-M 'I -4 2 d'
_symmetry_Int_Tables_number 122
_symmetry_space_group_name_Hall 'I -4 2bw'
loop_
_atom_site_label
_atom_site_type_symbol
_atom_site_fract_x
_atom_site_fract_y
_atom_site_fract_z
_atom_site_occupancy
K1 K 0.000 0.000 0.000 1
Be1 Be 0.000 0.000 0.500 1
Mo1 Mo 0.094 0.250 0.625 1

---

# PBE-GGA LiPrPbCl6, optimized geometry
# calculated total energy: -4.1666 eV/atom
data_LiPrPbCl6
_chemical_formula_sum 'Li2 Pr2 Pb2 Cl12'
_cell_length_a 6.8951
_cell_length_b 6.8951
_cell_length_c 12.6846
_cell_angle_alpha 90.00
_cell_angle_beta 90.00
_cell_angle_gamma 120.00
_symmetry_space_group_name_H-M 'P -3 1 c'
_symmetry_Int_Tables_number 163
_symmetry_space_group_name_Hall '-P 3 2c'
loop_
_atom_site_label
_atom_site_type_symbol
_atom_site_fract_x
_atom_site_fract_y
_atom_site_fract_z
_atom_site_occupancy
Li1 Li 0.3333 0.6667 0.2500 1
Pr1 Pr 0.3333 0.6667 0.7500 1
Pb1 Pb 0.0000 0.0000 0.0000 1
Cl1 Cl 0.0167 0.3588 0.1313 1

---

# PBE-GGA NiSb3N, optimized geometry
# energy relative to the lowest polymorph listed for this composition: 0.546 eV/atom
# calculated total energy: -4.0088 eV/atom
data_NiSb3N
_chemical_formula_sum 'Ni1 Sb3 N1'
_cell_length_a 4.874
_cell_length_b 4.874
_cell_length_c 4.874
_cell_angle_alpha 90.00
_cell_angle_beta 90.00
_cell_angle_gamma 90.00
_symmetry_space_group_name_H-M 'P m -3 m'
_symmetry_Int_Tables_number 221
_symmetry_space_group_name_Hall '-P 4 2 3'
loop_
_atom_site_label
_atom_site_type_symbol
_atom_site_fract_x
_atom_site_fract_y
_atom_site_fract_z
_atom_site_occupancy
Ni1 Ni 0.000 0.000 0.000 1
Sb1 Sb 0.000 0.000 0.500 1
N1 N 0.500 0.500 0.500 1

---

# PBE-GGA ZnCd2BRu, optimized geometry
# calculated total energy: -2.3555 eV/atom
# formation enthalpy at 0 K: 1455.9 meV/atom
data_ZnCd2BRu
_chemical_formula_sum 'Zn1 Cd2 B1 Ru1'
_cell_length_a 5.152
_cell_length_b 5.152
_cell_length_c 4.762
_cell_angle_alpha 90.00
_cell_angle_beta 90.00
_cell_angle_gamma 90.00
_symmetry_space_group_name_H-M 'P 4/m m m'
_symmetry_Int_Tables_number 123
_symmetry_space_group_name_Hall '-P 4 2'
loop_
_atom_site_label
_atom_site_type_symbol
_atom_site_fract_x
_atom_site_fract_y
_atom_site_fract_z
_atom_site_occupancy
Zn1 Zn 0.000 0.000 0.000 1
Cd1 Cd 0.000 0.500 0.500 1
B1 B 0.500 0.500 0.000 1
Ru1 Ru 0.000 0.000 0.500 1

---

# PBE-GGA Cs4Pa3CuTe8, optimized geometry
# calculated total energy: -4.6316 eV/atom
data_Cs4Pa3CuTe8
_chemical_formula_sum 'Cs8 Pa6 Cu2 Te16'
_cell_length_a 15.623
_cell_length_b 8.970
_cell_length_c 10.380
_cell_angle_alpha 90.00
_cell_angle_beta 120.16
_cell_angle_gamma 90.00
_symmetry_space_group_name_H-M 'C 1 2/m 1'
_symmetry_Int_Tables_number 12
_symmetry_space_group_name_Hall '-C 2y'
loop_
_atom_site_label
_atom_site_type_symbol
_atom_site_fract_x
_atom_site_fract_y
_atom_site_fract_z
_atom_site_occupancy
Cs1 Cs 0.000 0.000 0.000 1
Cs2 Cs 0.000 0.500 0.000 1
Cs3 Cs 0.250 0.250 0.000 1
Pa1 Pa 0.000 0.000 0.500 1
Pa2 Pa 0.250 0.250 0.500 1
Cu1 Cu 0.000 0.500 0.500 1
Te1 Te 0.020 0.257 0.317 1
Te2 Te 0.226 0.500 0.686 1
Te3 Te 0.232 0.000 0.696 1

---

# PBE-GGA In3PO4F3, optimized geometry
# calculated total energy: -5.3825 eV/atom
data_In3PO4F3
_chemical_formula_sum 'In3 P1 O4 F3'
_cell_length_a 4.613
_cell_length_b 6.509
_cell_length_c 6.534
_cell_angle_alpha 114.48
_cell_angle_beta 103.82
_cell_angle_gamma 103.43
_symmetry_space_group_name_H-M 'P 1'
_symmetry_Int_Tables_number 1
_symmetry_space_group_name_Hall 'P 1'
loop_
_atom_site_label
_atom_site_type_symbol
_atom_site_fract_x
_atom_site_fract_y
_atom_site_fract_z
_atom_site_occupancy
In1 In 0.000 0.000 0.000 1
In2 In 0.067 0.729 0.467 1
In3 In 0.666 0.262 0.729 1
P1 P 0.388 0.664 0.064 1
O1 O 0.045 0.664 0.064 1
O2 O 0.335 0.399 0.885 1
O3 O 0.512 0.844 0.980 1
O4 O 0.599 0.748 0.329 1
F1 F 0.256 0.118 0.380 1
F2 F 0.800 0.522 0.608 1
F3 F 0.944 0.350 0.208 1

---

# PBE-GGA NiHIr, optimized geometry
# energy relative to the lowest polymorph listed for this composition: 0.109 eV/atom
# calculated total energy: -5.8030 eV/atom
data_NiHIr
_chemical_formula_sum 'Ni1 H1 Ir1'
_cell_length_a 2.751
_cell_length_b 2.766
_cell_length_c 3.854
_cell_angle_alpha 90.00
_cell_angle_beta 90.00
_cell_angle_gamma 90.00
_symmetry_space_group_name_H-M 'P m m 2'
_symmetry_Int_Tables_number 25
_symmetry_space_group_name_Hall 'P 2 -2'
loop_
_atom_site_label
_atom_site_type_symbol
_atom_site_fract_x
_atom_site_fract_y
_atom_site_fract_z
_atom_site_occupancy
Ni1 Ni 0.000 0.000 0.000 1
H1 H 0.500 0.000 0.252 1
Ir1 Ir 0.500 0.500 0.549 1

---

# PBE-GGA SmPuAgRu, optimized geometry
# calculated total energy: -7.8543 eV/atom
# formation enthalpy at 0 K: -59.7 meV/atom
data_SmPuAgRu
_chemical_formula_sum 'Sm4 Pu4 Ag4 Ru4'
_cell_length_a 7.095
_cell_length_b 7.095
_cell_length_c 7.095
_cell_angle_alpha 90.00
_cell_angle_beta 90.00
_cell_angle_gamma 90.00
_symmetry_space_group_name_H-M 'F -4 3 m'
_symmetry_Int_Tables_number 216
_symmetry_space_group_name_Hall 'F -4 2 3'
loop_
_atom_site_label
_atom_site_type_symbol
_atom_site_fract_x
_atom_site_fract_y
_atom_site_fract_z
_atom_site_occupancy
Sm1 Sm 0.000 0.000 0.000 1
Pu1 Pu 0.000 0.000 0.500 1
Ag1 Ag 0.250 0.250 0.250 1
Ru1 Ru 0.250 0.250 0.750 1

---

# PBE-GGA Li3Cu4Pd, optimized geometry
# energy relative to the lowest polymorph listed for this composition: 0.005 eV/atom
# calculated total energy: -3.4420 eV/atom
# formation enthalpy at 0 K: -27.2 meV/atom
data_Li3Cu4Pd
_chemical_formula_sum 'Li6 Cu8 Pd2'
_cell_length_a 4.323
_cell_length_b 4.982
_cell_length_c 9.892
_cell_angle_alpha 90.00
_cell_angle_beta 90.00
_cell_angle_gamma 90.00
_symmetry_space_group_name_H-M 'P m m n'
_symmetry_Int_Tables_number 59
loop_
_symmetry_equiv_pos_as_xyz
'x,y,z'
'-x,-y,-z'
'-x+1/2,-y+1/2,z'
'x+1/2,y+1/2,-z'
'x+1/2,-y,-z'
'-x+1/2,y,z'
'-x,y+1/2,-z'
'x,-y+1/2,z'
loop_
_atom_site_label
_atom_site_type_symbol
_atom_site_fract_x
_atom_site_fract_y
_atom_site_fract_z
_atom_site_occupancy
Li1 Li 0.250 0.001 0.066 1
Li2 Li 0.250 0.250 0.565 1
Cu1 Cu 0.250 0.001 0.794 1
Cu2 Cu 0.250 0.250 0.294 1
Cu3 Cu 0.250 0.750 0.291 1
Pd1 Pd 0.250 0.750 0.558 1

---

# PBE-GGA K2In3Au5, optimized geometry
# energy relative to the lowest polymorph listed for this composition: 0.013 eV/atom
# calculated total energy: -2.9501 eV/atom
# formation enthalpy at 0 K: -270.4 meV/atom
data_K2In3Au5
_chemical_formula_sum 'K8 In12 Au20'
_cell_length_a 10.204
_cell_length_b 12.900
_cell_length_c 8.016
_cell_angle_alpha 90.00
_cell_angle_beta 90.00
_cell_angle_gamma 90.00
_symmetry_space_group_name_H-M 'I b a m'
_symmetry_Int_Tables_number 72
_symmetry_space_group_name_Hall '-I 2 2c'
loop_
_atom_site_label
_atom_site_type_symbol
_atom_site_fract_x
_atom_site_fract_y
_atom_site_fract_z
_atom_site_occupancy
K1 K 0.244 0.130 0.000 1
In1 In 0.000 0.500 0.250 1
In2 In 0.111 0.126 0.500 1
Au1 Au 0.000 0.000 0.250 1
Au2 Au 0.000 0.253 0.250 1
Au3 Au 0.117 0.380 0.000 1

---

Number 1: theoretical density 7.4 g/cm3. Number 2: theoretical density 12.8 g/cm3. Number 3: theoretical density 15.0 g/cm3. Number 4: theoretical density 6.8 g/cm3. Number 5: theoretical density 1.9 g/cm3. Number 6: theoretical density 7.6 g/cm3. Number 7: theoretical density 6.4 g/cm3. Number 8: theoretical density 3.1 g/cm3. Number 9: theoretical density 12.8 g/cm3. Number 10: theoretical density 9.8 g/cm3. Number 11: theoretical density 4.5 g/cm3. Number 12: theoretical density 3.6 g/cm3. Number 13: theoretical density 6.3 g/cm3. Number 14: theoretical density 5.3 g/cm3. Number 15: theoretical density 6.1 g/cm3. Number 16: theoretical density 5.1 g/cm3. Number 17: theoretical density 14.3 g/cm3. Number 18: theoretical density 11.2 g/cm3. Number 19: theoretical density 5.9 g/cm3. Number 20: theoretical density 8.9 g/cm3.